Entry 1:
Computed, not measured: a relaxed structure of Sm8Co2S at the PBE-GGA level of DFT.

Lattice parameters (Å, degrees): 9.3957 9.3957 8.8077 95.48 95.48 23.34
Closest atoms and distances in Å follow each position.
Atoms (fractional coordinates):
Sm 0.0141 0.0141 0.2241  2 S 2.73
Sm 0.2165 0.2165 0.3259  2 Co 2.84
Sm 0.3438 0.3438 0.0262  2 Co 2.78, 1 S 2.91
Sm 0.3962 0.3962 0.4378  2 Co 2.81
Sm 0.6038 0.6038 0.5622  2 Co 2.81
Sm 0.6562 0.6562 0.9738  2 Co 2.78, 1 S 2.91
Sm 0.7835 0.7835 0.6741  2 Co 2.84
Sm 0.9859 0.9859 0.7759  2 S 2.73
Co 0.1787 0.1787 0.7532  6 Sm 2.78-2.84
Co 0.8213 0.8213 0.2468  6 Sm 2.78-2.84
S 0.5000 0.5000 0.0000  6 Sm 2.73-2.91

Summary:
For the formation energy without anion corrections, the calculation gives -371 meV/atom. The density of states at the Fermi level comes out at 13.3 states/eV/cell. The space group is C2/m (12).

=====

Entry 2:
Computed, not measured: a relaxed structure of NdP2H9O10 at the PBE-GGA level of DFT.

Lattice parameters (Å, degrees): 10.1671 11.8031 7.3235 90.00 90.00 90.00
Closest atoms and distances in Å follow each position.
Atoms (fractional coordinates):
Nd 0.2452 0.2500 0.2500  8 O 2.42-2.51
Nd 0.2548 0.7500 0.2500  8 O 2.42-2.51
Nd 0.7452 0.2500 0.7500  8 O 2.42-2.51
Nd 0.7548 0.7500 0.7500  8 O 2.42-2.51
P 0.0320 0.0702 0.5878  3 O 1.53-1.57
P 0.0320 0.4298 0.9122  3 O 1.53-1.57
P 0.4680 0.5702 0.9122  3 O 1.53-1.57
P 0.4680 0.9298 0.5878  3 O 1.53-1.57
P 0.5320 0.0702 0.4122  3 O 1.53-1.57
P 0.5320 0.4298 0.0878  3 O 1.53-1.57
P 0.9680 0.5702 0.0878  3 O 1.53-1.57
P 0.9680 0.9298 0.4122  3 O 1.53-1.57
H 0.0530 0.7449 0.5547  1 O 0.99
H 0.0530 0.7551 0.9453  1 O 0.99
H 0.1213 0.0149 0.1586  1 O 0.99
H 0.1213 0.4851 0.3414  1 O 0.99
H 0.1308 0.0710 0.9611  1 O 0.99
H 0.1308 0.4290 0.5389  1 O 0.99
H 0.1418 0.6455 0.6266  1 O 0.98
H 0.1418 0.8545 0.8734  1 O 0.98
H 0.2500 0.0000 0.7006  2 O 1.21
H 0.2500 0.5000 0.7994  2 O 1.21
H 0.3582 0.1455 0.8734  1 O 0.98
H 0.3582 0.3545 0.6266  1 O 0.98
H 0.3692 0.5710 0.5389  1 O 0.99
H 0.3692 0.9290 0.9611  1 O 0.99
H 0.3787 0.5149 0.3414  1 O 0.99
H 0.3787 0.9851 0.1586  1 O 0.99
H 0.4470 0.2449 0.9453  1 O 0.99
H 0.4470 0.2551 0.5547  1 O 0.99
H 0.5530 0.7449 0.4453  1 O 0.99
H 0.5530 0.7551 0.0547  1 O 0.99
H 0.6213 0.0149 0.8414  1 O 0.99
H 0.6213 0.4851 0.6586  1 O 0.99
H 0.6308 0.0710 0.0389  1 O 0.99
H 0.6308 0.4290 0.4611  1 O 0.99
H 0.6418 0.6455 0.3734  1 O 0.98
H 0.6418 0.8545 0.1266  1 O 0.98
H 0.7500 0.0000 0.2994  2 O 1.21
H 0.7500 0.5000 0.2006  2 O 1.21
H 0.8582 0.1455 0.1266  1 O 0.98
H 0.8582 0.3545 0.3734  1 O 0.98
H 0.8692 0.5710 0.4611  1 O 0.99
H 0.8692 0.9290 0.0389  1 O 0.99
H 0.8787 0.5149 0.6586  1 O 0.99
H 0.8787 0.9851 0.8414  1 O 0.99
H 0.9470 0.2449 0.0547  1 O 0.99
H 0.9470 0.2551 0.4453  1 O 0.99
O 0.0881 0.1644 0.4665  1 P 1.53
O 0.0881 0.3356 0.0335  1 P 1.53
O 0.0911 0.6047 0.1962  1 P 1.54
O 0.0911 0.8953 0.3038  1 P 1.54
O 0.1350 0.0201 0.7250  1 H 1.21
O 0.1346 0.0878 0.0933  2 H 0.99
O 0.1346 0.4122 0.4067  2 H 0.99
O 0.1350 0.4799 0.7750  1 H 1.21
O 0.1434 0.7136 0.5509  2 H 0.98-0.99
O 0.1434 0.7864 0.9491  2 H 0.98-0.99
O 0.3566 0.2136 0.9491  2 H 0.98-0.99
O 0.3566 0.2864 0.5509  2 H 0.98-0.99
O 0.3650 0.5201 0.7750  1 H 1.21
O 0.3654 0.5878 0.4067  2 H 0.99
O 0.3654 0.9122 0.0933  2 H 0.99
O 0.3650 0.9799 0.7250  1 H 1.21
O 0.4089 0.1047 0.3038  1 P 1.54
O 0.4089 0.3953 0.1962  1 P 1.54
O 0.4119 0.6644 0.0335  1 P 1.53
O 0.4119 0.8356 0.4665  1 P 1.53
O 0.5881 0.1644 0.5335  1 P 1.53
O 0.5881 0.3356 0.9665  1 P 1.53
O 0.5911 0.6047 0.8038  1 P 1.54
O 0.5911 0.8953 0.6962  1 P 1.54
O 0.6350 0.0201 0.2750  1 H 1.21
O 0.6346 0.0878 0.9067  2 H 0.99
O 0.6346 0.4122 0.5933  2 H 0.99
O 0.6350 0.4799 0.2250  1 H 1.21
O 0.6434 0.7136 0.4491  2 H 0.98-0.99
O 0.6434 0.7864 0.0509  2 H 0.98-0.99
O 0.8566 0.2136 0.0509  2 H 0.98-0.99
O 0.8566 0.2864 0.4491  2 H 0.98-0.99
O 0.8650 0.5201 0.2250  1 H 1.21
O 0.8654 0.5878 0.5933  2 H 0.99
O 0.8654 0.9122 0.9067  2 H 0.99
O 0.8650 0.9799 0.2750  1 H 1.21
O 0.9089 0.1047 0.6962  1 P 1.54
O 0.9089 0.3953 0.8038  1 P 1.54
O 0.9119 0.6644 0.9665  1 P 1.53
O 0.9119 0.8356 0.5335  1 P 1.53

Summary:
For the electronic total energy, the calculation gives -5.97 eV/atom. The density of states at the Fermi level comes out at 0.0 states/eV/cell. The space group is Pnna (52).

=====

Entry 3:
Computed, not measured: a relaxed structure of SrCaZn2Au4 at the PBE-GGA level of DFT.

Lattice parameters (Å, degrees): 10.4830 10.4830 10.4830 25.15 25.15 25.15
Closest atoms and distances in Å follow each position.
Atoms (fractional coordinates):
Sr 0.0000 0.0000 0.0000  8 Au 3.29-3.32
Ca 0.5000 0.5000 0.5000  8 Au 3.10-3.17
Zn 0.2449 0.2449 0.2449  6 Au 2.71-2.73
Zn 0.7551 0.7551 0.7551  6 Au 2.71-2.73
Au 0.1090 0.1090 0.1090  3 Zn 2.71, 3 Au 2.96
Au 0.3983 0.3983 0.3983  3 Zn 2.73, 3 Au 2.96
Au 0.6017 0.6017 0.6017  3 Zn 2.73, 3 Au 2.96
Au 0.8910 0.8910 0.8910  3 Zn 2.71, 3 Au 2.96

Summary:
The calculation puts the formation energy at -0.56 eV/atom. The density of states at the Fermi level comes out at 3.6 states/eV/cell. The space group is R-3m (166).

=====

Entry 4:
Computed, not measured: a relaxed structure of Li8SnGe2 at the PBE-GGA level of DFT.

Lattice parameters (Å, degrees): 7.5233 7.5233 4.6173 105.50 105.50 121.22
Closest atoms and distances in Å follow each position.
Atoms (fractional coordinates):
Li 0.0845 0.3516 0.6861  6 Li 2.67-2.99, 2 Ge 2.72-2.80
Li 0.2135 0.7865 0.0000  6 Li 2.68-2.89, 2 Ge 2.70, 1 Sn 2.80
Li 0.3516 0.0845 0.6861  6 Li 2.67-2.99, 2 Ge 2.72-2.80
Li 0.4217 0.4217 0.2054  1 Li 2.30
Li 0.5783 0.5783 0.7946  1 Li 2.30
Li 0.6484 0.9155 0.3139  6 Li 2.67-2.99, 2 Ge 2.72-2.80
Li 0.7865 0.2135 0.0000  6 Li 2.68-2.89, 2 Ge 2.70, 1 Sn 2.80
Li 0.9155 0.6484 0.3139  6 Li 2.67-2.99, 2 Ge 2.72-2.80
Sn 0.0000 0.0000 0.0000  4 Li 2.72-2.80
Ge 0.3204 0.6796 0.5000  8 Li 2.62-2.80
Ge 0.6796 0.3204 0.5000  8 Li 2.62-2.80

Summary:
The calculation puts the formation energy at -0.22 eV/atom. The density of states at the Fermi level comes out at 2.9 states/eV/cell. The space group is C2/m (12).

=====

Entry 5:
Computed, not measured: a relaxed structure of Pu3Ir2Rh7 at the PBE-GGA level of DFT.

Lattice parameters (Å, degrees): 9.2961 9.2961 9.2961 32.84 32.84 32.84
Closest atoms and distances in Å follow each position.
Atoms (fractional coordinates):
Pu 0.0000 0.0000 0.0000  6 Ir 3.03
Pu 0.1401 0.1401 0.1401  12 Rh 3.03-3.27, 3 Pu 3.34
Pu 0.8599 0.8599 0.8599  12 Rh 3.03-3.27, 3 Pu 3.34
Ir 0.3333 0.3333 0.3333  6 Rh 2.66-2.67
Ir 0.6667 0.6667 0.6667  6 Rh 2.66-2.67
Rh 0.0810 0.5840 0.5840  5 Rh 2.61-2.68, 2 Ir 2.66-2.67
Rh 0.4160 0.4160 0.9190  5 Rh 2.61-2.68, 2 Ir 2.66-2.67
Rh 0.4160 0.9190 0.4160  5 Rh 2.61-2.68, 2 Ir 2.66-2.67
Rh 0.5000 0.5000 0.5000  6 Rh 2.68
Rh 0.5840 0.0810 0.5840  5 Rh 2.61-2.68, 2 Ir 2.66-2.67
Rh 0.5840 0.5840 0.0810  5 Rh 2.61-2.68, 2 Ir 2.66-2.67
Rh 0.9190 0.4160 0.4160  5 Rh 2.61-2.68, 2 Ir 2.66-2.67

Summary:
The calculation puts the formation energy at -0.35 eV/atom. The density of states at the Fermi level comes out at 30.2 states/eV/cell. The space group is R-3m (166).

=====

Entry 6:
Computed, not measured: a relaxed structure of Er2MgP at the PBE-GGA level of DFT.

Lattice parameters (Å, degrees): 10.0489 10.0489 10.0489 21.37 21.37 21.37
Closest atoms and distances in Å follow each position.
Atoms (fractional coordinates):
Er 0.1122 0.1122 0.1122  3 P 2.68
Er 0.8878 0.8878 0.8878  3 P 2.68
Mg 0.0000 0.0000 0.0000  2 Er 3.30
P 0.5000 0.5000 0.5000  6 Er 2.68

Summary:
The calculation puts the formation energy at -0.47 eV/atom. The density of states at the Fermi level comes out at 4.8 states/eV/cell. The space group is R-3m (166).

=====

Entry 7:
Computed, not measured: a relaxed structure of Si19Te8 at the PBE-GGA level of DFT.

Lattice parameters (Å, degrees): 10.5530 10.5530 10.5530 89.61 89.61 89.61
Closest atoms and distances in Å follow each position.
Atoms (fractional coordinates):
Si 0.0000 0.0000 0.0000  3 Si 2.39, 1 Te 2.63
Si 0.0320 0.4608 0.1462  3 Si 2.35-2.39, 1 Te 2.62
Si 0.0618 0.7929 0.0688  3 Si 2.39-2.40, 1 Te 2.62
Si 0.0688 0.0618 0.7929  3 Si 2.39-2.40, 1 Te 2.62
Si 0.1231 0.2573 0.4616  3 Si 2.35-2.40
Si 0.1342 0.9016 0.6462  4 Si 2.39-2.40
Si 0.1462 0.0320 0.4608  3 Si 2.35-2.39, 1 Te 2.62
Si 0.1462 0.4016 0.6342  4 Si 2.39-2.40
Si 0.1763 0.2603 0.8091  3 Si 2.35-2.40
Si 0.2573 0.4616 0.1231  3 Si 2.35-2.40
Si 0.2603 0.8091 0.1763  3 Si 2.35-2.40
Si 0.2929 0.5618 0.5688  3 Si 2.39-2.40, 1 Te 2.62
Si 0.3083 0.9730 0.3181  3 Si 2.35, 1 Te 2.64
Si 0.3091 0.7603 0.6763  3 Si 2.35-2.40
Si 0.3181 0.3083 0.9730  3 Si 2.35, 1 Te 2.64
Si 0.4016 0.6342 0.1462  4 Si 2.39-2.40
Si 0.4608 0.1462 0.0320  3 Si 2.35-2.39, 1 Te 2.62
Si 0.4616 0.1231 0.2573  3 Si 2.35-2.40
Si 0.4730 0.8083 0.8181  3 Si 2.35-2.36, 1 Te 2.64
Si 0.5000 0.5000 0.5000  3 Si 2.39, 1 Te 2.63
Si 0.5320 0.6462 0.9608  3 Si 2.36-2.39, 1 Te 2.62
Si 0.5618 0.5688 0.2929  3 Si 2.39-2.40, 1 Te 2.62
Si 0.5688 0.2929 0.5618  3 Si 2.39-2.40, 1 Te 2.62
Si 0.6231 0.9616 0.7573  3 Si 2.35-2.40
Si 0.6342 0.1462 0.4016  4 Si 2.39-2.40
Si 0.6462 0.1342 0.9016  4 Si 2.39-2.40
Si 0.6462 0.9608 0.5320  3 Si 2.35-2.39, 1 Te 2.62
Si 0.6763 0.3091 0.7603  3 Si 2.35-2.40
Si 0.7573 0.6231 0.9616  3 Si 2.35-2.40
Si 0.7603 0.6763 0.3091  3 Si 2.35-2.40
Si 0.7929 0.0688 0.0618  3 Si 2.39-2.40, 1 Te 2.62
Si 0.8083 0.8181 0.4730  3 Si 2.35, 1 Te 2.64
Si 0.8091 0.1763 0.2603  3 Si 2.35-2.40
Si 0.8181 0.4730 0.8083  3 Si 2.35, 1 Te 2.64
Si 0.9016 0.6462 0.1342  4 Si 2.39-2.40
Si 0.9608 0.5320 0.6462  3 Si 2.35-2.39, 1 Te 2.62
Si 0.9616 0.7573 0.6231  3 Si 2.35-2.40
Si 0.9730 0.3181 0.3083  3 Si 2.35, 1 Te 2.64
Te 0.1430 0.1430 0.1430  1 Si 2.63
Te 0.1479 0.6525 0.3888  1 Si 2.62
Te 0.1525 0.6479 0.8888  1 Si 2.62
Te 0.3256 0.9517 0.9610  3 Si 2.62-2.80
Te 0.3308 0.3308 0.3308  3 Si 2.70
Te 0.3888 0.1479 0.6525  1 Si 2.62
Te 0.4517 0.8256 0.4610  3 Si 2.62-2.80
Te 0.4610 0.4517 0.8256  3 Si 2.62-2.80
Te 0.6430 0.6430 0.6430  1 Si 2.63
Te 0.6479 0.8888 0.1525  1 Si 2.62
Te 0.6525 0.3888 0.1479  1 Si 2.62
Te 0.8256 0.4610 0.4517  3 Si 2.62-2.80
Te 0.8308 0.8308 0.8308  3 Si 2.70
Te 0.8888 0.1525 0.6479  1 Si 2.62
Te 0.9517 0.9610 0.3256  3 Si 2.62-2.80
Te 0.9610 0.3256 0.9517  3 Si 2.62-2.80

Summary:
For the formation energy without anion corrections, the calculation gives 34 meV/atom. The space group is R3c (161).

=====

Entry 8:
Computed, not measured: a relaxed structure of CeHoSnPt at the PBE-GGA level of DFT.

Lattice parameters (Å, degrees): 5.2082 5.2082 5.2082 60.00 60.00 60.00
Closest atoms and distances in Å follow each position.
Atoms (fractional coordinates):
Ce 0.0000 0.0000 0.0000  4 Sn 3.19, 4 Pt 3.19
Ho 0.5000 0.5000 0.5000  4 Sn 3.19, 4 Pt 3.19
Sn 0.7500 0.7500 0.7500  4 Ho 3.19, 4 Ce 3.19
Pt 0.2500 0.2500 0.2500  4 Ce 3.19, 4 Ho 3.19

Summary:
The calculation puts the formation energy at -0.74 eV/atom. The density of states at the Fermi level comes out at 7.9 states/eV/cell. The space group is F-43m (216).

=====

Entry 9:
Computed, not measured: a relaxed structure of SnHg2Pb2 at the PBE-GGA level of DFT.

Lattice parameters (Å, degrees): 11.5068 11.5068 11.5068 162.18 162.18 25.30
Closest atoms and distances in Å follow each position.
Atoms (fractional coordinates):
Sn 0.0000 0.0000 0.0000  8 Pb 3.42, 4 Sn 3.56
Hg 0.2053 0.2053 0.0000  8 Hg 3.22-3.56, 4 Pb 3.41
Hg 0.7947 0.7947 0.0000  8 Hg 3.22-3.56, 4 Pb 3.41
Pb 0.3970 0.3970 0.0000  4 Hg 3.41, 4 Sn 3.42, 4 Pb 3.56
Pb 0.6030 0.6030 0.0000  4 Hg 3.41, 4 Sn 3.42, 4 Pb 3.56

Summary:
The calculation puts the formation energy at 0.02 eV/atom. The density of states at the Fermi level comes out at 2.1 states/eV/cell. The space group is I4/mmm (139).

=====

Entry 10:
Computed, not measured: a relaxed structure of CsZnCu3 at the PBE-GGA level of DFT.

Lattice parameters (Å, degrees): 4.8929 4.8929 4.8929 90.00 90.00 90.00
Closest atoms and distances in Å follow each position.
Atoms (fractional coordinates):
Cs 0.0000 0.0000 0.0000  12 Cu 3.46
Zn 0.5000 0.5000 0.5000  6 Cu 2.45
Cu 0.0000 0.5000 0.5000  2 Zn 2.45
Cu 0.5000 0.0000 0.5000  2 Zn 2.45
Cu 0.5000 0.5000 0.0000  2 Zn 2.45

Summary:
The calculation puts the formation energy at 0.53 eV/atom. The density of states at the Fermi level comes out at 2.4 states/eV/cell. The space group is Pm-3m (221).

=====

- Number 1 is which compound?
  Sm8Co2S

=====

- What is the formula in the eighth record?
  CeHoSnPt

=====

- Which formula does entry 8 have?
  CeHoSnPt